Run w
# NiAg2W

A relaxed structure of NiAg2W (PBE-GGA, Alexandria via LeMat-Bulk).

a = 4.726 Å, b = 4.726 Å, c = 5.166 Å
α = 81.77°, β = 81.77°, γ = 33.35°
Atoms (fractional coordinates):
W 0.242 0.242 0.283
Ni 0.502 0.502 0.462
Ag 0.757 0.757 0.756
Ag 0.000 0.000 0.999

Summary:
Crystal system: monoclinic
M_tot: 0.0 μB/f.u.

=====

Run x
# NiAg2W

A relaxed structure of NiAg2W (PBE-GGA, Alexandria via LeMat-Bulk).

a = 4.802 Å, b = 2.686 Å, c = 4.851 Å
α = 85.90°, β = 90.00°, γ = 90.00°
Atoms (fractional coordinates):
W 0.500 0.750 0.750
Ag 0.000 0.472 0.496
Ag 0.000 0.028 0.004
Ni 0.500 0.250 0.250

Summary:
Crystal system: monoclinic
M_tot: 0.0 μB/f.u.

=====

Run y
# NiAg2W

A relaxed structure of NiAg2W (PBE-GGA, Alexandria via LeMat-Bulk).

a = 4.450 Å, b = 4.450 Å, c = 4.450 Å
α = 120.60°, β = 120.60°, γ = 88.96°
Atoms (fractional coordinates):
Ag 0.000 0.000 0.000
Ag 0.250 0.750 0.500
Ni 0.500 0.500 0.000
W 0.750 0.250 0.500

Summary:
Crystal system: tetragonal
M_tot: 0.0 μB/f.u.

=====

Run z
# NiAg2W

A relaxed structure of NiAg2W (PBE-GGA, Alexandria via LeMat-Bulk).

a = 7.242 Å, b = 7.242 Å, c = 5.729 Å
α = 50.80°, β = 50.80°, γ = 90.00°
Atoms (fractional coordinates):
Ni 0.250 0.750 0.500
Ni 0.500 0.500 0.000
Ag 0.599 0.125 0.250
Ag 0.875 0.849 0.750
Ag 0.375 0.401 0.750
Ag 0.151 0.625 0.250
W 0.750 0.250 0.500
W 0.000 0.000 0.000

Summary:
Crystal system: tetragonal
M_tot: 0.0 μB/f.u.

=====

Result of the stability comparison: run w is the most stable of them.